# LiTaIrPt

Crystalline LiTaIrPt at its relaxed geometry (PBE-GGA, the Alexandria database).

a = 4.5771 Å, b = 4.5771 Å, c = 4.5771 Å
α = 126.74°, β = 126.74°, γ = 78.67°
Last column: nearest neighbours and their distance in Å.
Atoms (fractional coordinates):
Li1 0.0000 0.0000 0.0000  4 Ir 2.71, 4 Pt 2.71, 4 Ta 2.90
Ta1 0.5000 0.5000 0.0000  4 Ir 2.71, 4 Pt 2.71, 4 Li 2.90
Ir1 0.2500 0.7500 0.5000  4 Ta 2.71, 4 Li 2.71, 4 Pt 2.90
Pt1 0.7500 0.2500 0.5000  4 Ta 2.71, 4 Li 2.71, 4 Ir 2.90

spin magnetization = 0.00 μB/f.u.
E_form = -617.2 meV per atom
calculated volume = 14.9 Å³ per atom